! CsNiF PBE+U optimized geometry; values from VASP
! Size of the total moment (μB per atom): 0.0077
! Distance to the lowest polymorph of the same formula (eV/atom): 0.000
! Space group: P1
&SYSTEM
  ibrav = 0, nat = 6, ntyp = 3
/
ATOMIC_SPECIES
Cs 132.91 Cs.upf
Ni 58.69 Ni.upf
F 19.00 F.upf
ATOMIC_POSITIONS angstrom
Cs 0.000 0.000 0.000
Cs -0.055 1.619 3.793
Ni 0.147 1.261 7.421
Ni 1.956 3.126 6.894
F 0.094 1.234 9.432
F 1.769 3.464 2.507
CELL_PARAMETERS angstrom
3.642 0.000 0.000
-0.006 3.708 0.000
-1.732 -0.628 10.634